Below is a relaxed structure of Pm7SnS5, with properties calculated at the PBE-GGA level.

Cell: 6.957 6.957 24.128 Å, 90.00 90.00 145.59°
Atoms (fractional coordinates):
Pm (0.024, 0.976, 0.750)
Pm (0.136, 0.864, 0.036)
Pm (0.136, 0.864, 0.464)
Pm (0.324, 0.676, 0.673)
Pm (0.324, 0.676, 0.827)
Pm (0.407, 0.593, 0.110)
Pm (0.407, 0.593, 0.390)
Pm (0.593, 0.407, 0.610)
Pm (0.593, 0.407, 0.890)
Pm (0.676, 0.324, 0.173)
Pm (0.676, 0.324, 0.327)
Pm (0.864, 0.136, 0.536)
Pm (0.864, 0.136, 0.964)
Pm (0.976, 0.024, 0.250)
Sn (0.300, 0.700, 0.250)
Sn (0.700, 0.300, 0.750)
S (0.043, 0.957, 0.140)
S (0.043, 0.957, 0.360)
S (0.228, 0.772, 0.570)
S (0.228, 0.772, 0.930)
S (0.500, 0.500, 0.000)
S (0.500, 0.500, 0.500)
S (0.772, 0.228, 0.070)
S (0.772, 0.228, 0.430)
S (0.957, 0.043, 0.640)
S (0.957, 0.043, 0.860)

Properties
Crystal system: orthorhombic
ΔE_f (raw) in eV per atom: -1.70
Space-group type: No. 63
E_tot in eV per atom: -6.16